Arrangement i

Compound: ReAgHg2
Source: the Alexandria database
Functional: PBE
Structure: relaxed

abc: 5.6398 5.6398 5.2017
angles: 67.51 67.51 29.33
With the nearest neighbours (Å) after each atom.
Element x y z (fractional)
Re 0.5073 0.5073 0.5871  2 Re 2.86, 7 Hg 2.91-3.03, 2 Ag 2.95
Hg 0.9943 0.9943 0.0839  3 Hg 2.86-3.05, 3 Ag 2.87-3.01, 4 Re 2.91-3.03
Hg 0.7610 0.7610 0.6544  3 Hg 2.86-3.05, 3 Re 2.92-2.94, 4 Ag 2.97-2.98
Ag 0.2375 0.2375 0.1746  2 Ag 2.86, 7 Hg 2.87-3.01, 2 Re 2.95

Results
crystal system = monoclinic
M_tot = 0.00 μB per formula unit
Fermi-level density of states = 2.06 states/eV/f.u.


Arrangement ii

Compound: ReAgHg2
Source: the Alexandria database
Functional: PBE
Structure: relaxed

abc: 4.1420 4.1420 10.2763
angles: 78.37 78.37 90.00
With the nearest neighbours (Å) after each atom.
Element x y z (fractional)
Hg 0.3750 0.3683 0.7500  2 Re 2.86, 2 Ag 2.88, 4 Hg 2.89-2.97
Hg 0.6317 0.1250 0.2500  2 Re 2.86, 2 Ag 2.88, 4 Hg 2.89-2.97
Hg 0.1183 0.6250 0.2500  2 Re 2.86, 2 Ag 2.88, 4 Hg 2.89-2.97
Hg 0.8750 0.8817 0.7500  2 Re 2.86, 2 Ag 2.88, 4 Hg 2.89-2.97
Ag 0.2500 0.7500 0.5000  4 Hg 2.88, 4 Re 2.93
Ag 0.5000 0.5000 0.0000  4 Hg 2.88, 4 Re 2.93
Re 0.7500 0.2500 0.5000  4 Hg 2.86, 4 Ag 2.93
Re 0.0000 0.0000 0.0000  4 Hg 2.86, 4 Ag 2.93

Results
crystal system = tetragonal
M_tot = 2.27 μB per formula unit
Fermi-level density of states = 2.38 states/eV/f.u.


Stability verdict: arrangement i, ahead by 0.455 eV/atom


Arrangement i

Compound: TlTePb2
Source: the Alexandria database
Functional: PBE
Structure: relaxed

abc: 4.0929 4.0929 9.5523
angles: 77.79 77.79 60.42
With the nearest neighbours (Å) after each atom.
Element x y z (fractional)
Te 0.6668 0.6668 0.9992  6 Pb 3.19-3.20
Tl 0.4999 0.4999 0.5001  6 Pb 3.42-3.44
Pb 0.0775 0.0775 0.7691  3 Te 3.19, 3 Tl 3.43-3.44
Pb 0.2559 0.2559 0.2315  3 Te 3.20, 3 Tl 3.42-3.44

Results
crystal system = monoclinic
M_tot = 0.00 μB per formula unit
Fermi-level density of states = 1.62 states/eV/f.u.


Arrangement ii

Compound: TlTePb2
Source: the Alexandria database
Functional: PBE
Structure: relaxed

abc: 5.5928 5.5928 5.5928
angles: 60.00 60.00 60.00
With the nearest neighbours (Å) after each atom.
Element x y z (fractional)
Tl 0.5000 0.5000 0.5000  8 Pb 3.42
Pb 0.2500 0.2500 0.2500  4 Tl 3.42, 4 Te 3.42
Pb 0.7500 0.7500 0.7500  4 Tl 3.42, 4 Te 3.42
Te 0.0000 0.0000 0.0000  8 Pb 3.42

Results
crystal system = cubic
M_tot = 0.00 μB per formula unit
Fermi-level density of states = 2.07 states/eV/f.u.


Stability verdict: arrangement i, ahead by 0.049 eV/atom


Arrangement i

Compound: Cu2Br
Source: the Alexandria database
Functional: PBE
Structure: relaxed

abc: 6.0294 6.0294 6.6288
angles: 90.00 90.00 149.42
With the nearest neighbours (Å) after each atom.
Element x y z (fractional)
Br 0.5594 0.4406 0.7500  4 Cu 2.53-2.57
Br 0.4406 0.5594 0.2500  4 Cu 2.53-2.57
Cu 0.1139 0.8861 0.2500  2 Cu 2.42, 2 Br 2.57
Cu 0.2287 0.7713 0.7500  2 Cu 2.42, 2 Br 2.53
Cu 0.8861 0.1139 0.7500  2 Cu 2.42, 2 Br 2.57
Cu 0.7713 0.2287 0.2500  2 Cu 2.42, 2 Br 2.53

Results
crystal system = orthorhombic
M_tot = 0.00 μB per formula unit
Fermi-level density of states = 1.01 states/eV/f.u.


Arrangement ii

Compound: Cu2Br
Source: the Alexandria database
Functional: PBE
Structure: relaxed

abc: 4.3484 4.3484 4.3484
angles: 60.00 60.00 60.00
With the nearest neighbours (Å) after each atom.
Element x y z (fractional)
Br 0.0000 0.0000 0.0000  8 Cu 2.66
Cu 0.7500 0.7500 0.7500  4 Br 2.66
Cu 0.2500 0.2500 0.2500  4 Br 2.66

Results
crystal system = cubic
M_tot = 0.00 μB per formula unit
Fermi-level density of states = 0.47 states/eV/f.u.


Stability verdict: arrangement i, ahead by 0.219 eV/atom


Arrangement i

Compound: KBaLi2
Source: the Alexandria database
Functional: PBE
Structure: relaxed

abc: 7.2117 7.2117 7.2117
angles: 136.74 136.74 62.84
With the nearest neighbours (Å) after each atom.
Element x y z (fractional)
Li 0.2500 0.7500 0.5000  4 K 3.76, 4 Li 4.07, 4 Ba 4.07
Li 0.0000 0.0000 0.0000  4 Ba 3.76, 4 K 4.07, 4 Li 4.07
Ba 0.5000 0.5000 0.0000  8 Li 3.76-4.07, 4 K 4.07
K 0.7500 0.2500 0.5000  8 Li 3.76-4.07, 4 Ba 4.07

Results
crystal system = tetragonal
M_tot = 0.00 μB per formula unit
Fermi-level density of states = 3.74 states/eV/f.u.


Arrangement ii

Compound: KBaLi2
Source: the Alexandria database
Functional: PBE
Structure: relaxed

abc: 4.2247 4.2247 11.9272
angles: 79.92 79.92 60.13
With the nearest neighbours (Å) after each atom.
Element x y z (fractional)
Li 0.2476 0.2476 0.2563  3 Ba 3.75, 3 K 3.86-3.87
Li 0.0855 0.0855 0.7438  3 Ba 3.75, 3 K 3.86
K 0.6668 0.6668 0.9996  6 Li 3.86-3.87, 6 K 4.22-4.23
Ba 0.5001 0.5001 0.5003  6 Li 3.75

Results
crystal system = monoclinic
M_tot = 0.00 μB per formula unit
Fermi-level density of states = 2.64 states/eV/f.u.


Stability verdict: arrangement i, ahead by 0.012 eV/atom


Arrangement i

Compound: RbSiAu3
Source: the Alexandria database
Functional: PBE
Structure: relaxed

abc: 16.1337 9.2752 9.2752
angles: 119.77 142.90 37.10
With the nearest neighbours (Å) after each atom.
Element x y z (fractional)
Au 0.1056 0.5978 0.4239  2 Si 2.51-2.56
Au 0.3944 0.9239 0.0978  2 Si 2.51-2.56
Au 0.8944 0.4022 0.5761  2 Si 2.51-2.56
Au 0.4376 0.5376 0.7719  1 Si 2.46
Au 0.8968 0.0850 0.2414  1 Si 2.48
Au 0.6056 0.0761 0.9022  2 Si 2.51-2.56
Au 0.6032 0.7414 0.5850  1 Si 2.48
Au 0.9376 0.7281 0.9624  1 Si 2.46
Au 0.1032 0.9150 0.7586  1 Si 2.48
Au 0.5624 0.4624 0.2281  1 Si 2.46
Au 0.3968 0.2586 0.4150  1 Si 2.48
Au 0.0624 0.2719 0.0376  1 Si 2.46
Rb 0.7500 0.2228 0.7228  2 Rb 3.22, 2 Si 3.38, 4 Au 3.52-3.56
Rb 0.7500 0.6121 0.1121  6 Si 3.52-3.78, 8 Au 3.58-3.74, 1 Rb 3.62
Rb 0.2500 0.7772 0.2772  2 Rb 3.22, 2 Si 3.38, 4 Au 3.52-3.56
Rb 0.2500 0.3879 0.8879  6 Si 3.52-3.78, 8 Au 3.58-3.74, 1 Rb 3.62
Si 0.8005 0.9998 0.3535  4 Au 2.46-2.56
Si 0.6995 0.8535 0.4998  4 Au 2.46-2.56
Si 0.1995 0.0002 0.6465  4 Au 2.46-2.56
Si 0.3005 0.1465 0.5002  4 Au 2.46-2.56

Results
crystal system = monoclinic
M_tot = 0.00 μB per formula unit
Fermi-level density of states = 1.96 states/eV/f.u.


Arrangement ii

Compound: RbSiAu3
Source: the Alexandria database
Functional: PBE
Structure: relaxed

abc: 6.6536 6.6536 6.6536
angles: 81.13 81.13 81.13
With the nearest neighbours (Å) after each atom.
Element x y z (fractional)
Au 0.5176 0.2500 0.9824  1 Si 2.32
Au 0.4824 0.7500 0.0176  1 Si 2.32
Au 0.9824 0.5176 0.2500  1 Si 2.32
Au 0.2500 0.9824 0.5176  1 Si 2.32
Au 0.7500 0.0176 0.4824  1 Si 2.32
Au 0.0176 0.4824 0.7500  1 Si 2.32
Rb 0.5000 0.5000 0.5000  2 Si 3.30, 6 Au 3.39
Rb 0.0000 0.0000 0.0000  2 Si 3.30, 6 Au 3.39
Si 0.7500 0.7500 0.7500  3 Au 2.32
Si 0.2500 0.2500 0.2500  3 Au 2.32

Results
crystal system = trigonal
M_tot = 0.00 μB per formula unit
Fermi-level density of states = 0.00 states/eV/f.u.


Stability verdict: arrangement i, ahead by 0.398 eV/atom


Arrangement i

Compound: Mn2HgCl
Source: the Alexandria database
Functional: PBE
Structure: relaxed

abc: 3.1227 5.6086 4.4839
angles: 90.00 90.00 90.00
With the nearest neighbours (Å) after each atom.
Element x y z (fractional)
Mn 0.5000 0.5000 0.0000  4 Hg 2.73
Mn 0.0000 0.0000 0.0000  4 Cl 2.73
Hg 0.0000 0.5000 0.5000  4 Mn 2.73
Cl 0.5000 0.0000 0.5000  4 Mn 2.73

Results
crystal system = orthorhombic
M_tot = 8.08 μB per formula unit
Fermi-level density of states = 2.65 states/eV/f.u.


Arrangement ii

Compound: Mn2HgCl
Source: the Alexandria database
Functional: PBE
Structure: relaxed

abc: 5.4436 5.4436 5.4436
angles: 146.38 116.28 74.01
With the nearest neighbours (Å) after each atom.
Element x y z (fractional)
Hg 0.2500 0.7500 0.5000  4 Mn 2.82, 2 Hg 3.15
Mn 0.5190 0.5190 0.0000  2 Cl 2.55, 2 Hg 2.82
Mn 0.9810 0.9810 0.0000  2 Cl 2.55, 2 Hg 2.82
Cl 0.7500 0.2500 0.5000  4 Mn 2.55

Results
crystal system = orthorhombic
M_tot = 8.30 μB per formula unit
Fermi-level density of states = 3.09 states/eV/f.u.


Stability verdict: arrangement ii, ahead by 0.073 eV/atom